Density functional theory data (GGA-PBE) for Rb2TcI4F2 after structural relaxation.

The structure belongs to space group C2/m (No. 12); the cell edges are 12.856, 8.185 and 7.888 Å and the angles 90.00°, 124.92° and 90.00°. The asymmetric unit holds Rb at (0.247, 0.000, 0.176), Tc at (0.000, 0.500, 0.000), I at (0.040, 0.261, 0.279) and F at (0.181, 0.500, 0.104).

The value obtained for the formation energy (no corrections) is -11.8 eV/f.u.



Density functional theory data (GGA-PBE) for Pm2Zn2HgPd5 after structural relaxation.

The structure belongs to space group P4/mbm (No. 127); the cell edges are 9.825, 9.825 and 3.867 Å and the angles 90.00°, 90.00° and 90.00°. The asymmetric unit holds Pm at (0.179, 0.321, 0.000), Zn at (0.117, 0.617, 0.000), Hg at (0.000, 0.000, 0.000), Pd at (0.000, 0.500, 0.500) and Pd at (0.068, 0.791, 0.500).

The formation energy is -0.62 eV per atom.



Density functional theory data (GGA-PBE) for Ca2MgW after structural relaxation.

The structure belongs to space group I4/mmm (No. 139); the cell edges are 4.621, 4.621 and 9.297 Å and the angles 90.00°, 90.00° and 90.00°. The asymmetric unit holds Ca at (0.000, 0.500, 0.250), Mg at (0.000, 0.000, 0.000) and W at (0.000, 0.000, 0.500).

The formation energy is 0.84 eV per atom.



Density functional theory data (GGA-PBE) for Pr4SmDy6 after structural relaxation.

The structure belongs to space group I-42m (No. 121); the cell edges are 7.768, 7.768 and 13.138 Å and the angles 90.00°, 90.00° and 90.00°. The asymmetric unit holds Pr at (0.176, 0.176, 0.424), Sm at (0.000, 0.000, 0.000), Dy at (0.000, 0.500, 0.000) and Dy at (0.245, 0.245, 0.184).

The value obtained for the energy relative to the lowest polymorph listed for this composition is 145.6 meV per atom. The formation energy is 0.44 eV per atom.



Density functional theory data (GGA-PBE) for YAlIn2 after structural relaxation.

The structure belongs to space group F-43m (No. 216); the cell edges are 7.346, 7.346 and 7.346 Å and the angles 90.00°, 90.00° and 90.00°. The asymmetric unit holds Y at (0.000, 0.000, 0.000), Al at (0.250, 0.250, 0.250), In at (0.000, 0.000, 0.500) and In at (0.250, 0.250, 0.750).

The formation energy is -0.06 eV per atom.



Density functional theory data (GGA-PBE) for TlCuBiSe2 after structural relaxation.

The structure belongs to space group P2/c (No. 13); the cell edges are 7.615, 4.163 and 8.926 Å and the angles 90.00°, 95.74° and 90.00°. The asymmetric unit holds Tl at (0.000, 0.112, 0.250), Cu at (0.500, 0.000, 0.000), Bi at (0.500, 0.484, 0.750) and Se at (0.252, 0.342, 0.982).

The value obtained for the formation energy (no corrections) is -0.9 eV/f.u.



| no. | VASP energy (hartree per atom) |
| --- | --- |
| 1 | -0.1389 |
| 2 | -0.1635 |
| 3 | -0.1395 |
| 4 | -0.1556 |
| 5 | -0.1462 |
| 6 | -0.1338 |